5
Lattice="-0.8092 -2.9544 4.0972 -0.5896 -4.0659 -3.0483 5.0168 -0.9544 0.3026" Properties=species:S:1:pos:R:3 comment="Cr3BiSb | Alexandria via LeMat-Bulk | PBE | optimized geometry" e_above_lowest_polymorph_ev_per_atom=0.000 e_form_raw_kcal_per_mol_atoms=20.82 spacegroup=Pm-3m total_magnetization_mub_per_atom=2.40 pbc="T T T"
Bi 1.8090 -3.9874 0.6758
Cr 2.5084 -0.4772 0.1513
Cr -0.2948 -2.0329 -1.5241
Cr -0.4046 -1.4772 2.0486
Sb 0.0000 0.0000 0.0000